# 1
! La3TbYHo | Alexandria | GGA-PBE | relaxed; values from VASP
! Calculated formation energy: 2.3 kJ per mole of atoms
! Total magnetic moment: 0.0 μB per formula unit
&SYSTEM
  ibrav = 0, nat = 12, ntyp = 4
/
ATOMIC_SPECIES
La 138.91 La.upf
Tb 158.93 Tb.upf
Y 88.91 Y.upf
Ho 164.93 Ho.upf
CELL_PARAMETERS angstrom
10.936 0.000 0.000
0.000 3.652 0.000
-3.672 0.000 10.331
ATOMIC_POSITIONS angstrom
La -0.903 0.913 3.829
La 0.915 2.739 6.452
La 4.512 2.739 1.283
La 2.752 0.913 9.048
La 6.349 0.913 3.879
La 8.167 2.739 6.502
Tb -0.987 0.913 9.089
Tb 8.251 2.739 1.242
Y 2.715 0.913 3.846
Y 4.549 2.739 6.485
Ho 0.898 2.739 1.248
Ho 6.365 0.913 9.083

=====

# 2
! NaPrNd4S8 | Alexandria | GGA-PBE | relaxed; values from VASP
! Total energy: -6.062 eV per atom
! Total magnetic moment: 0.0 μB per formula unit
&SYSTEM
  ibrav = 0, nat = 14, ntyp = 4
/
ATOMIC_SPECIES
Na 22.99 Na.upf
Pr 140.91 Pr.upf
Nd 144.24 Nd.upf
S 32.06 S.upf
CELL_PARAMETERS angstrom
4.192 2.420 6.870
-4.192 2.420 6.870
0.000 -4.840 6.870
ATOMIC_POSITIONS angstrom
Na 0.000 0.000 0.000
Pr 0.000 0.000 12.969
Nd -2.163 -1.249 9.426
Nd 0.000 0.000 5.164
Nd 2.163 -1.249 9.426
Nd 0.000 2.497 9.426
S 0.000 -2.271 11.105
S -1.967 1.136 11.105
S 0.000 0.000 7.903
S -1.922 -1.110 14.692
S 1.967 1.136 11.105
S 0.000 0.000 17.815
S 1.922 -1.110 14.692
S 0.000 2.220 14.692

=====

# 3
! CeTm6Sc4 | Alexandria | GGA-PBE | relaxed; values from VASP
! Calculated formation energy: 32.3 kJ per mole of atoms
! Total magnetic moment: 0.2 μB per formula unit
&SYSTEM
  ibrav = 0, nat = 11, ntyp = 3
/
ATOMIC_SPECIES
Ce 140.12 Ce.upf
Tm 168.93 Tm.upf
Sc 44.96 Sc.upf
CELL_PARAMETERS angstrom
-3.125 3.125 8.263
3.125 -3.125 8.263
3.125 3.125 -8.263
ATOMIC_POSITIONS angstrom
Ce 0.000 0.000 0.000
Tm 3.125 0.000 0.000
Tm 1.943 -1.943 5.305
Tm 1.182 1.182 2.958
Tm 0.000 3.125 0.000
Tm -1.943 1.943 5.305
Tm 1.943 1.943 11.220
Sc 1.991 1.991 -2.114
Sc 1.134 -1.134 10.376
Sc 1.134 1.134 6.149
Sc -1.134 1.134 10.376

=====

# 4
! Ac2AlPt5 | Alexandria | GGA-PBE | relaxed; values from VASP
! Calculated formation energy: -92.2 kJ per mole of atoms
! Total magnetic moment: 0.0 μB per formula unit
&SYSTEM
  ibrav = 0, nat = 16, ntyp = 3
/
ATOMIC_SPECIES
Ac 227.00 Ac.upf
Al 26.98 Al.upf
Pt 195.08 Pt.upf
CELL_PARAMETERS angstrom
6.171 0.000 0.000
0.000 6.171 0.000
0.000 0.000 9.727
ATOMIC_POSITIONS angstrom
Ac 0.000 3.086 0.000
Ac 0.000 3.086 4.864
Ac 3.086 0.000 0.000
Ac 3.086 0.000 4.864
Al 0.000 0.000 2.941
Al 3.086 3.086 7.804
Pt 0.000 0.000 5.383
Pt 1.397 1.397 7.331
Pt 1.397 4.774 7.331
Pt 1.689 1.689 2.468
Pt 1.689 4.482 2.468
Pt 3.086 3.086 0.520
Pt 4.482 1.689 2.468
Pt 4.482 4.482 2.468
Pt 4.774 1.397 7.331
Pt 4.774 4.774 7.331

=====

# 5
! Nd2CdIn2Rh5 | Alexandria | GGA-PBE | relaxed; values from VASP
! Calculated formation energy: -34.8 kJ per mole of atoms
! Total magnetic moment: 0.0 μB per formula unit
&SYSTEM
  ibrav = 0, nat = 20, ntyp = 4
/
ATOMIC_SPECIES
Nd 144.24 Nd.upf
Cd 112.41 Cd.upf
In 114.82 In.upf
Rh 102.91 Rh.upf
CELL_PARAMETERS angstrom
10.281 0.000 0.000
0.000 10.281 0.000
0.000 0.000 3.754
ATOMIC_POSITIONS angstrom
Nd 1.762 3.378 0.000
Nd 3.378 8.519 0.000
Nd 6.903 1.762 0.000
Nd 8.519 6.903 0.000
Cd 0.000 0.000 0.000
Cd 5.141 5.141 0.000
In 1.313 6.454 0.000
In 3.827 1.313 0.000
In 6.454 8.968 0.000
In 8.968 3.827 0.000
Rh 0.000 5.141 1.877
Rh 0.563 8.215 1.877
Rh 2.067 0.563 1.877
Rh 3.074 5.704 1.877
Rh 4.577 3.074 1.877
Rh 5.141 0.000 1.877
Rh 5.704 7.207 1.877
Rh 7.207 4.577 1.877
Rh 8.215 9.718 1.877
Rh 9.718 2.067 1.877

=====

# 6
! TiP2ClO | Alexandria | GGA-PBE | relaxed; values from VASP
! Relative energy among the computed polymorphs: 803 meV/atom
! Total magnetic moment: 0.0 μB per formula unit
&SYSTEM
  ibrav = 0, nat = 5, ntyp = 4
/
ATOMIC_SPECIES
Ti 47.87 Ti.upf
P 30.97 P.upf
Cl 35.45 Cl.upf
O 16.00 O.upf
CELL_PARAMETERS angstrom
4.738 0.000 0.000
0.000 4.738 0.000
0.000 0.000 4.533
ATOMIC_POSITIONS angstrom
Ti 0.000 0.000 0.000
P 0.000 2.369 0.000
P 2.369 0.000 0.000
Cl 0.000 0.000 2.267
O 2.369 2.369 2.267

=====

# 7
! ZrCu3Cl | Alexandria | GGA-PBE | relaxed; values from VASP
! Relative energy among the computed polymorphs: 0 meV/atom
! Total magnetic moment: 0.3 μB per formula unit
&SYSTEM
  ibrav = 0, nat = 5, ntyp = 3
/
ATOMIC_SPECIES
Zr 91.22 Zr.upf
Cu 63.55 Cu.upf
Cl 35.45 Cl.upf
CELL_PARAMETERS angstrom
4.462 0.000 0.000
0.000 4.462 0.000
0.000 0.000 4.462
ATOMIC_POSITIONS angstrom
Zr 0.000 0.000 0.000
Cu 0.000 2.231 2.231
Cu 2.231 0.000 2.231
Cu 2.231 2.231 0.000
Cl 2.231 2.231 2.231

=====

# 8
! CdIrOs2 | Alexandria | GGA-PBE | relaxed; values from VASP
! Calculated formation energy: 49.9 kJ per mole of atoms
! Total magnetic moment: 0.0 μB per formula unit
&SYSTEM
  ibrav = 0, nat = 4, ntyp = 3
/
ATOMIC_SPECIES
Cd 112.41 Cd.upf
Ir 192.22 Ir.upf
Os 190.23 Os.upf
CELL_PARAMETERS angstrom
2.740 0.000 0.000
0.000 3.898 0.000
0.000 0.000 5.967
ATOMIC_POSITIONS angstrom
Cd 0.000 0.000 0.000
Ir 0.000 0.000 2.983
Os 1.370 1.949 1.688
Os 1.370 1.949 4.278

=====

# 9
! FeCuSe2 | Alexandria | GGA-PBE | relaxed; values from VASP
! Total energy: -4.941 eV per atom
! Total magnetic moment: 1.0 μB per formula unit
&SYSTEM
  ibrav = 0, nat = 12, ntyp = 3
/
ATOMIC_SPECIES
Fe 55.84 Fe.upf
Cu 63.55 Cu.upf
Se 78.96 Se.upf
CELL_PARAMETERS angstrom
3.522 0.000 0.000
-1.761 3.050 0.000
0.000 0.000 21.446
ATOMIC_POSITIONS angstrom
Fe 0.000 0.000 0.000
Fe 0.000 2.033 14.297
Fe 1.761 1.017 7.149
Cu 0.000 0.000 10.723
Cu 0.000 2.033 3.574
Cu 1.761 1.017 17.872
Se 0.000 0.000 8.428
Se 0.000 0.000 13.018
Se 0.000 2.033 1.279
Se 0.000 2.033 5.869
Se 1.761 1.017 15.577
Se 1.761 1.017 20.167

=====

# 10
! Ac2BiI2 | Alexandria | GGA-PBE | relaxed; values from VASP
! Total energy: -4.304 eV per atom
! Total magnetic moment: 0.0 μB per formula unit
&SYSTEM
  ibrav = 0, nat = 15, ntyp = 3
/
ATOMIC_SPECIES
Ac 227.00 Ac.upf
Bi 208.98 Bi.upf
I 126.90 I.upf
CELL_PARAMETERS angstrom
4.802 0.000 0.000
-2.401 4.159 0.000
0.000 0.000 35.256
ATOMIC_POSITIONS angstrom
Ac 0.000 0.000 3.985
Ac 0.000 0.000 31.271
Ac 0.000 2.772 19.519
Ac 0.000 2.772 27.489
Ac 2.401 1.386 7.767
Ac 2.401 1.386 15.737
Bi 0.000 0.000 17.628
Bi 0.000 2.772 5.876
Bi 2.401 1.386 29.380
I 0.000 0.000 9.803
I 0.000 0.000 25.453
I 0.000 2.772 13.701
I 0.000 2.772 33.307
I 2.401 1.386 1.949
I 2.401 1.386 21.555

=====

# 11
! AlSbTe2N | Alexandria | GGA-PBE | relaxed; values from VASP
! Relative energy among the computed polymorphs: 427 meV/atom
! Total magnetic moment: 0.0 μB per formula unit
&SYSTEM
  ibrav = 0, nat = 5, ntyp = 4
/
ATOMIC_SPECIES
Al 26.98 Al.upf
Sb 121.76 Sb.upf
Te 127.60 Te.upf
N 14.01 N.upf
CELL_PARAMETERS angstrom
4.712 0.000 0.000
0.000 4.712 0.000
0.000 0.000 4.908
ATOMIC_POSITIONS angstrom
Al 0.000 0.000 0.000
Sb 2.356 2.356 0.000
Te 0.000 2.356 2.454
Te 2.356 0.000 2.454
N 2.356 2.356 2.454

=====

# 12
! NaSi2Au2 | Alexandria | GGA-PBE | relaxed; values from VASP
! Relative energy among the computed polymorphs: 0 meV/atom
! Total magnetic moment: 0.0 μB per formula unit
&SYSTEM
  ibrav = 0, nat = 10, ntyp = 3
/
ATOMIC_SPECIES
Na 22.99 Na.upf
Si 28.09 Si.upf
Au 196.97 Au.upf
CELL_PARAMETERS angstrom
4.421 0.000 0.000
0.000 4.421 0.000
0.000 0.000 9.839
ATOMIC_POSITIONS angstrom
Na 0.000 0.000 0.000
Na 2.211 2.211 4.919
Si 0.000 0.000 3.749
Si 0.000 0.000 6.090
Si 2.211 2.211 1.170
Si 2.211 2.211 8.669
Au 0.000 2.211 2.460
Au 0.000 2.211 7.379
Au 2.211 0.000 2.460
Au 2.211 0.000 7.379

=====

# 13
! Hg2PSe | Alexandria | GGA-PBE | relaxed; values from VASP
! Total energy: -2.250 eV per atom
! Total magnetic moment: 0.0 μB per formula unit
&SYSTEM
  ibrav = 0, nat = 16, ntyp = 3
/
ATOMIC_SPECIES
Hg 200.59 Hg.upf
P 30.97 P.upf
Se 78.96 Se.upf
CELL_PARAMETERS angstrom
6.119 0.000 0.000
0.000 6.119 0.000
0.000 0.000 11.941
ATOMIC_POSITIONS angstrom
Hg 1.338 1.530 1.493
Hg 1.530 4.397 4.478
Hg 1.530 4.782 10.449
Hg 1.722 1.530 7.463
Hg 4.397 4.590 7.463
Hg 4.590 1.338 10.449
Hg 4.590 1.722 4.478
Hg 4.782 4.590 1.493
P 0.000 0.000 0.000
P 0.000 3.060 2.985
P 3.060 0.000 8.956
P 3.060 3.060 5.971
Se 0.000 0.000 5.971
Se 0.000 3.060 8.956
Se 3.060 0.000 2.985
Se 3.060 3.060 0.000

=====

# 14
! YCuTc2 | Alexandria | GGA-PBE | relaxed; values from VASP
! Relative energy among the computed polymorphs: 151 meV/atom
! Calculated formation energy: 16.8 kJ per mole of atoms
! Total magnetic moment: 0.0 μB per formula unit
&SYSTEM
  ibrav = 0, nat = 16, ntyp = 3
/
ATOMIC_SPECIES
Y 88.91 Y.upf
Cu 63.55 Cu.upf
Tc 98.00 Tc.upf
CELL_PARAMETERS angstrom
6.440 0.000 0.000
0.000 6.440 0.000
0.000 0.000 6.440
ATOMIC_POSITIONS angstrom
Y 0.000 0.000 0.000
Y 0.000 3.220 3.220
Y 3.220 0.000 3.220
Y 3.220 3.220 0.000
Cu 1.610 1.610 4.830
Cu 1.610 4.830 1.610
Cu 4.830 1.610 1.610
Cu 4.830 4.830 4.830
Tc 0.000 0.000 3.220
Tc 0.000 3.220 0.000
Tc 1.610 1.610 1.610
Tc 1.610 4.830 4.830
Tc 3.220 0.000 0.000
Tc 3.220 3.220 3.220
Tc 4.830 1.610 4.830
Tc 4.830 4.830 1.610

=====

# 15
! KTcBr2 | Alexandria | GGA-PBE | relaxed; values from VASP
! Relative energy among the computed polymorphs: 81 meV/atom
! Total magnetic moment: 4.0 μB per formula unit
&SYSTEM
  ibrav = 0, nat = 12, ntyp = 3
/
ATOMIC_SPECIES
K 39.10 K.upf
Tc 98.00 Tc.upf
Br 79.90 Br.upf
CELL_PARAMETERS angstrom
4.517 0.000 0.000
-2.259 3.912 0.000
0.000 0.000 26.468
ATOMIC_POSITIONS angstrom
K 0.000 0.000 0.000
K 0.000 2.608 17.645
K 2.259 1.304 8.823
Tc 0.000 0.000 13.234
Tc 0.000 2.608 4.411
Tc 2.259 1.304 22.056
Br 0.000 0.000 10.727
Br 0.000 0.000 15.741
Br 0.000 2.608 1.904
Br 0.000 2.608 6.918
Br 2.259 1.304 19.549
Br 2.259 1.304 24.563

=====

# 16
! Hg6Sb2TeBr2 | Alexandria | GGA-PBE | relaxed; values from VASP
! Total energy: -1.615 eV per atom
! Total magnetic moment: 0.0 μB per formula unit
&SYSTEM
  ibrav = 0, nat = 11, ntyp = 4
/
ATOMIC_SPECIES
Hg 200.59 Hg.upf
Sb 121.76 Sb.upf
Te 127.60 Te.upf
Br 79.90 Br.upf
CELL_PARAMETERS angstrom
6.877 0.000 0.000
3.097 6.517 0.000
2.038 1.791 8.305
ATOMIC_POSITIONS angstrom
Hg 1.128 1.180 0.279
Hg 4.577 4.983 2.696
Hg 6.474 6.946 5.809
Hg 5.538 1.362 2.496
Hg 7.435 3.324 5.609
Hg 10.884 7.127 8.026
Sb 3.899 2.981 0.914
Sb 8.113 5.326 7.391
Te 1.019 0.895 4.152
Br 4.463 3.161 5.301
Br 7.549 5.147 3.004

=====

# 17
! Sn2BiOsC | Alexandria | GGA-PBE | relaxed; values from VASP
! Calculated formation energy: 78.4 kJ per mole of atoms
! Total magnetic moment: 0.0 μB per formula unit
&SYSTEM
  ibrav = 0, nat = 5, ntyp = 4
/
ATOMIC_SPECIES
Sn 118.71 Sn.upf
Bi 208.98 Bi.upf
Os 190.23 Os.upf
C 12.01 C.upf
CELL_PARAMETERS angstrom
5.254 0.000 0.000
0.000 5.254 0.000
0.000 0.000 3.910
ATOMIC_POSITIONS angstrom
Sn 0.000 2.627 0.000
Sn 2.627 0.000 0.000
Bi 0.000 0.000 1.955
Os 2.627 2.627 1.955
C 2.627 2.627 0.000

=====

# 18
! PmSm3Y3 | Alexandria | GGA-PBE | relaxed; values from VASP
! Relative energy among the computed polymorphs: 0 meV/atom
! Calculated formation energy: 14.8 kJ per mole of atoms
! Total magnetic moment: 0.0 μB per formula unit
&SYSTEM
  ibrav = 0, nat = 14, ntyp = 3
/
ATOMIC_SPECIES
Pm 145.00 Pm.upf
Sm 150.36 Sm.upf
Y 88.91 Y.upf
CELL_PARAMETERS angstrom
3.127 1.805 14.453
-3.127 1.805 14.453
0.000 -3.610 14.453
ATOMIC_POSITIONS angstrom
Pm 0.000 0.000 7.226
Pm 0.000 0.000 36.132
Sm -2.072 0.001 15.947
Sm -1.037 -1.794 27.411
Sm 1.035 -1.795 15.947
Sm -1.035 1.795 27.411
Sm 1.037 1.794 15.947
Sm 2.072 -0.001 27.411
Y -1.043 -1.804 18.804
Y -2.084 0.001 24.554
Y -1.041 1.806 18.804
Y 1.041 -1.806 24.554
Y 2.084 -0.001 18.804
Y 1.043 1.804 24.554

=====

# 19
! AlSiTc | Alexandria | GGA-PBE | relaxed; values from VASP
! Relative energy among the computed polymorphs: 442 meV/atom
! Total magnetic moment: 0.0 μB per formula unit
&SYSTEM
  ibrav = 0, nat = 3, ntyp = 3
/
ATOMIC_SPECIES
Al 26.98 Al.upf
Si 28.09 Si.upf
Tc 98.00 Tc.upf
CELL_PARAMETERS angstrom
2.900 0.000 0.000
-1.450 2.512 0.000
0.000 0.000 6.099
ATOMIC_POSITIONS angstrom
Al 0.000 0.000 0.000
Si 1.450 0.837 2.237
Tc 0.000 1.674 4.054

=====

# 20
! Ca2Pm4Pr | Alexandria | GGA-PBE | relaxed; values from VASP
! Relative energy among the computed polymorphs: 0 meV/atom
! Calculated formation energy: 11.6 kJ per mole of atoms
! Total magnetic moment: 0.0 μB per formula unit
&SYSTEM
  ibrav = 0, nat = 14, ntyp = 3
/
ATOMIC_SPECIES
Ca 40.08 Ca.upf
Pm 145.00 Pm.upf
Pr 140.91 Pr.upf
CELL_PARAMETERS angstrom
3.582 0.000 0.000
0.000 5.962 0.000
0.000 0.000 23.908
ATOMIC_POSITIONS angstrom
Ca 0.000 0.000 5.282
Ca 0.000 0.000 18.626
Ca 1.791 2.981 6.672
Ca 1.791 2.981 17.236
Pm 0.000 2.981 3.140
Pm 0.000 2.981 10.026
Pm 0.000 2.981 13.882
Pm 0.000 2.981 20.768
Pm 1.791 0.000 1.928
Pm 1.791 0.000 8.814
Pm 1.791 0.000 15.094
Pm 1.791 0.000 21.980
Pr 0.000 0.000 11.954
Pr 1.791 2.981 0.000